1.
Computed, not measured: AgBiO3 after structural relaxation at the PBE level of DFT.

Calculated density (g/cm³): 8.14
Calculated total energy (eV for the cell shown): -49.4

a b c (Å): 5.7261 5.7261 6.1958
angles (deg): 62.48 62.48 60.00
Closest atoms and distances in Å follow each position.
Fractional coordinates of all 10 atoms:
O  0.5388  0.2897  0.2298  2 Bi 2.15-2.20, 1 Ag 2.33
O  0.9418  0.5388  0.2298  2 Bi 2.15-2.20, 1 Ag 2.33
Ag  0.8660  0.8660  0.4021  6 O 2.33-2.58
Bi  0.3444  0.3444  0.9668  6 O 2.15-2.20
O  0.2897  0.9418  0.2298  2 Bi 2.15-2.20, 1 Ag 2.33
Ag  0.1340  0.1340  0.5979  6 O 2.33-2.58
Bi  0.6556  0.6556  0.0332  6 O 2.15-2.20
O  0.7103  0.0582  0.7702  2 Bi 2.15-2.20, 1 Ag 2.33
O  0.0582  0.4612  0.7702  2 Bi 2.15-2.20, 1 Ag 2.33
O  0.4612  0.7103  0.7702  2 Bi 2.15-2.20, 1 Ag 2.33

***

2.
Computed, not measured: AgBiPO after structural relaxation at the PBE level of DFT.

Calculated density (g/cm³): 6.86
Calculated total energy (eV for the cell shown): -31.5

a b c (Å): 4.6482 4.6482 8.1485
angles (deg): 90.00 90.00 90.00
Closest atoms and distances in Å follow each position.
Fractional coordinates of all 8 atoms:
Ag  0.2500  0.2500  0.0025  4 O 2.32, 1 P 2.50
O  0.7500  0.2500  0.0000  4 Ag 2.32
P  0.2500  0.2500  0.6963  1 Ag 2.50
P  0.7500  0.7500  0.3037  1 Ag 2.50
O  0.2500  0.7500  0.0000  4 Ag 2.32
Bi  0.7500  0.2500  0.5000  4 P 2.82
Bi  0.2500  0.7500  0.5000  4 P 2.82
Ag  0.7500  0.7500  0.9975  4 O 2.32, 1 P 2.50